# 1
# MoPd12, optimized geometry, DFT PBE
data_MoPd12
_symmetry_space_group_name_H-M 'I m -3'
_symmetry_Int_Tables_number 204
_symmetry_space_group_name_Hall '-I 2 2 3'
_cell_length_a 7.453
_cell_length_b 7.453
_cell_length_c 7.453
_cell_angle_alpha 90.00
_cell_angle_beta 90.00
_cell_angle_gamma 90.00
loop_
_atom_site_label
_atom_site_fract_x
_atom_site_fract_y
_atom_site_fract_z
Mo1 0.000 0.000 0.000
Pd1 0.000 0.183 0.308
# - E_form (eV per atom) = 0.01
# - E_tot (eV per atom) = -5.6149
# - V (Å³/cell) = 414.0

***

# 2
# ZrSe2BrN, optimized geometry, DFT PBE
data_ZrSe2BrN
_symmetry_space_group_name_H-M 'P 4/m m m'
_symmetry_Int_Tables_number 123
_symmetry_space_group_name_Hall '-P 4 2'
_cell_length_a 5.213
_cell_length_b 5.213
_cell_length_c 5.457
_cell_angle_alpha 90.00
_cell_angle_beta 90.00
_cell_angle_gamma 90.00
loop_
_atom_site_label
_atom_site_fract_x
_atom_site_fract_y
_atom_site_fract_z
Zr1 0.000 0.000 0.000
Se1 0.000 0.500 0.000
Br1 0.000 0.000 0.500
N1 0.500 0.500 0.500
# - uncorrected formation energy (meV per atom) = 400
# - excess energy over the best structure of this formula in the dataset (eV/atom) = 0.267
# - E_tot (eV per atom) = -4.7028
# - V (Å³/cell) = 148.3

***

# 3
# KCa2Ta, optimized geometry, DFT PBE
data_KCa2Ta
_symmetry_space_group_name_H-M 'P 1 m 1'
_symmetry_Int_Tables_number 6
_symmetry_space_group_name_Hall 'P -2y'
_cell_length_a 3.253
_cell_length_b 5.925
_cell_length_c 6.814
_cell_angle_alpha 90.00
_cell_angle_beta 90.22
_cell_angle_gamma 90.00
loop_
_atom_site_label
_atom_site_fract_x
_atom_site_fract_y
_atom_site_fract_z
K1 0.000 0.000 0.000
Ca1 0.492 0.000 0.465
Ca2 0.492 0.500 0.757
Ta1 0.990 0.500 0.339
# - excess energy over the best structure of this formula in the dataset (eV/atom) = 0.296
# - E_form (eV per atom) = 0.93
# - E_tot (eV per atom) = -3.3044
# - V (Å³/cell) = 131.3

***

# 4
# Pr6TeP4, optimized geometry, DFT PBE
data_Pr6TeP4
_symmetry_space_group_name_H-M 'C m c m'
_symmetry_Int_Tables_number 63
_symmetry_space_group_name_Hall '-C 2c 2'
_cell_length_a 4.222
_cell_length_b 13.925
_cell_length_c 21.428
_cell_angle_alpha 90.00
_cell_angle_beta 90.00
_cell_angle_gamma 90.00
loop_
_atom_site_label
_atom_site_fract_x
_atom_site_fract_y
_atom_site_fract_z
Pr1 0.000 0.000 0.000
Pr2 0.000 0.164 0.250
Pr3 0.000 0.274 0.580
Pr4 0.000 0.461 0.157
Te1 0.000 0.161 0.750
P1 0.000 0.092 0.125
P2 0.000 0.363 0.042
# - uncorrected formation energy (meV per atom) = -1408
# - E_tot (eV per atom) = -6.2676
# - V (Å³/cell) = 1259.8

***

# 5
# ZnCuIr4, optimized geometry, DFT PBE
data_ZnCuIr4
_symmetry_space_group_name_H-M 'F -4 3 m'
_symmetry_Int_Tables_number 216
_symmetry_space_group_name_Hall 'F -4 2 3'
_cell_length_a 7.286
_cell_length_b 7.286
_cell_length_c 7.286
_cell_angle_alpha 90.00
_cell_angle_beta 90.00
_cell_angle_gamma 90.00
loop_
_atom_site_label
_atom_site_fract_x
_atom_site_fract_y
_atom_site_fract_z
Zn1 0.000 0.000 0.000
Cu1 0.250 0.250 0.750
Ir1 0.125 0.125 0.375
# - E_form (eV per atom) = 0.48
# - E_tot (eV per atom) = -6.3210
# - V (Å³/cell) = 386.7

***

# 6
# ZrNiC, optimized geometry, DFT PBE
data_ZrNiC
_symmetry_space_group_name_H-M 'C 1 2/m 1'
_symmetry_Int_Tables_number 12
_symmetry_space_group_name_Hall '-C 2y'
_cell_length_a 7.840
_cell_length_b 3.417
_cell_length_c 5.935
_cell_angle_alpha 90.00
_cell_angle_beta 103.92
_cell_angle_gamma 90.00
loop_
_atom_site_label
_atom_site_fract_x
_atom_site_fract_y
_atom_site_fract_z
Zr1 0.113 0.000 0.299
Ni1 0.137 0.500 0.929
C1 0.084 0.500 0.581
# - E_form (eV per atom) = -0.34
# - E_tot (eV per atom) = -8.1884
# - V (Å³/cell) = 154.3

***

# 7
# BaIn2As, optimized geometry, DFT PBE
data_BaIn2As
_symmetry_space_group_name_H-M 'F -4 3 m'
_symmetry_Int_Tables_number 216
_symmetry_space_group_name_Hall 'F -4 2 3'
_cell_length_a 7.829
_cell_length_b 7.829
_cell_length_c 7.829
_cell_angle_alpha 90.00
_cell_angle_beta 90.00
_cell_angle_gamma 90.00
loop_
_atom_site_label
_atom_site_fract_x
_atom_site_fract_y
_atom_site_fract_z
Ba1 0.000 0.000 0.000
In1 0.000 0.000 0.500
In2 0.250 0.250 0.250
As1 0.250 0.250 0.750
# - E_form (eV per atom) = -0.26
# - E_tot (eV per atom) = -3.2729
# - V (Å³/cell) = 479.9

***

# 8
# KFePt2, optimized geometry, DFT PBE
data_KFePt2
_symmetry_space_group_name_H-M 'I m m 2'
_symmetry_Int_Tables_number 44
_symmetry_space_group_name_Hall 'I 2 -2'
_cell_length_a 2.745
_cell_length_b 5.173
_cell_length_c 10.750
_cell_angle_alpha 90.00
_cell_angle_beta 90.00
_cell_angle_gamma 90.00
loop_
_atom_site_label
_atom_site_fract_x
_atom_site_fract_y
_atom_site_fract_z
K1 0.000 0.000 0.000
Fe1 0.000 0.500 0.211
Pt1 0.000 0.000 0.510
Pt2 0.000 0.500 0.786
# - excess energy over the best structure of this formula in the dataset (eV/atom) = 0.296
# - E_form (eV per atom) = 0.30
# - E_tot (eV per atom) = -5.1119
# - V (Å³/cell) = 152.7

***

# 9
# K4AsW, optimized geometry, DFT PBE
data_K4AsW
_symmetry_space_group_name_H-M 'F -4 3 m'
_symmetry_Int_Tables_number 216
_symmetry_space_group_name_Hall 'F -4 2 3'
_cell_length_a 9.413
_cell_length_b 9.413
_cell_length_c 9.413
_cell_angle_alpha 90.00
_cell_angle_beta 90.00
_cell_angle_gamma 90.00
loop_
_atom_site_label
_atom_site_fract_x
_atom_site_fract_y
_atom_site_fract_z
K1 0.124 0.124 0.376
As1 0.250 0.250 0.750
W1 0.000 0.000 0.000
# - E_form (eV per atom) = 1.25
# - E_tot (eV per atom) = -2.4200
# - V (Å³/cell) = 834.0

***

# 10
# SrSc2Te, optimized geometry, DFT PBE
data_SrSc2Te
_symmetry_space_group_name_H-M 'I m m 2'
_symmetry_Int_Tables_number 44
_symmetry_space_group_name_Hall 'I 2 -2'
_cell_length_a 3.948
_cell_length_b 5.192
_cell_length_c 11.161
_cell_angle_alpha 90.00
_cell_angle_beta 90.00
_cell_angle_gamma 90.00
loop_
_atom_site_label
_atom_site_fract_x
_atom_site_fract_y
_atom_site_fract_z
Sr1 0.000 0.000 0.000
Sc1 0.000 0.000 0.560
Sc2 0.000 0.500 0.783
Te1 0.000 0.500 0.254
# - uncorrected formation energy (meV per atom) = -286
# - E_tot (eV per atom) = -4.6575
# - V (Å³/cell) = 228.8

***

# 11
# Zr5Hg4Pd, optimized geometry, DFT PBE
data_Zr5Hg4Pd
_symmetry_space_group_name_H-M 'P 4/m m m'
_symmetry_Int_Tables_number 123
_symmetry_space_group_name_Hall '-P 4 2'
_cell_length_a 3.221
_cell_length_b 3.221
_cell_length_c 20.309
_cell_angle_alpha 90.00
_cell_angle_beta 90.00
_cell_angle_gamma 90.00
loop_
_atom_site_label
_atom_site_fract_x
_atom_site_fract_y
_atom_site_fract_z
Zr1 0.000 0.000 0.000
Zr2 0.000 0.000 0.206
Zr3 0.000 0.000 0.412
Hg1 0.500 0.500 0.103
Hg2 0.500 0.500 0.308
Pd1 0.500 0.500 0.500
# - E_form (eV per atom) = -0.25
# - E_tot (eV per atom) = -5.1632
# - V (Å³/cell) = 210.7

***

# 12
# CaPm5Pb6, optimized geometry, DFT PBE
data_CaPm5Pb6
_symmetry_space_group_name_H-M 'C 1 2/m 1'
_symmetry_Int_Tables_number 12
_symmetry_space_group_name_Hall '-C 2y'
_cell_length_a 10.411
_cell_length_b 15.480
_cell_length_c 5.081
_cell_angle_alpha 90.00
_cell_angle_beta 119.15
_cell_angle_gamma 90.00
loop_
_atom_site_label
_atom_site_fract_x
_atom_site_fract_y
_atom_site_fract_z
Ca1 0.000 0.000 0.000
Pm1 0.000 0.164 0.500
Pm2 0.000 0.335 0.000
Pm3 0.000 0.500 0.500
Pb1 0.249 0.000 0.749
Pb2 0.250 0.168 0.250
# - excess energy over the best structure of this formula in the dataset (eV/atom) = 0.000
# - E_form (eV per atom) = -0.50
# - E_tot (eV per atom) = -4.4996
# - V (Å³/cell) = 715.1

***

- What is the E_tot in the first record?
  -5.6149 eV per atom